Entry 1:
DFT (PBE-GGA) results for crystalline Pm5DyTe8 at its relaxed geometry.

The space group is I-4 (No. 82) and the conventional cell measures 9.435, 9.435 and 9.515 Å, with angles of 90.00, 90.00 and 90.00 degrees. The inequivalent atoms are Pm at (0.000, 0.000, 0.000), Pm at (0.119, 0.250, 0.375), Dy at (0.000, 0.500, 0.750), Te at (0.073, 0.180, 0.701) and Te at (0.075, 0.324, 0.049).

Its raw formation energy is -1389 meV per atom.

---

Entry 2:
DFT (PBE-GGA) results for crystalline Ce2PaRu2 at its relaxed geometry.

The space group is P2_1/c (No. 14) and the conventional cell measures 8.197, 8.145 and 7.243 Å, with angles of 90.00, 104.77 and 90.00 degrees. The inequivalent atoms are Ce at (0.030, 0.180, 0.042), Ce at (0.297, 0.589, 0.870), Pa at (0.339, 0.124, 0.871), Ru at (0.114, 0.563, 0.172) and Ru at (0.491, 0.637, 0.265).

The formation energy from the elements comes out at -0.2509 eV per atom.

---

Entry 3:
DFT (PBE-GGA) results for crystalline Cd4SnO5 at its relaxed geometry.

The space group is I4 (No. 79) and the conventional cell measures 7.516, 7.516 and 5.045 Å, with angles of 90.00, 90.00 and 90.00 degrees. The inequivalent atoms are Cd at (0.099, 0.701, 0.000), Sn at (0.000, 0.000, 0.481), O at (0.000, 0.000, 0.892) and O at (0.106, 0.695, 0.505).

Its raw formation energy is -1007 meV per atom.

---

Entry 4:
DFT (PBE-GGA) results for crystalline PBr at its relaxed geometry.

The space group is Pmma (No. 51) and the conventional cell measures 3.465, 4.384 and 7.478 Å, with angles of 90.00, 90.00 and 90.00 degrees. The inequivalent atoms are P at (0.250, 0.000, 0.103) and Br at (0.250, 0.500, 0.775).

Its raw formation energy is 357 meV per atom.

---

Entry 5:
DFT (PBE-GGA) results for crystalline AlTl at its relaxed geometry.

The space group is P2_1/m (No. 11) and the conventional cell measures 3.307, 3.307 and 8.965 Å, with angles of 90.00, 90.10 and 90.00 degrees. The inequivalent atoms are Al at (0.250, 0.250, 0.086) and Tl at (0.248, 0.250, 0.664).

The formation energy from the elements comes out at 0.1544 eV per atom.

---

Entry 6:
DFT (PBE-GGA) results for crystalline CsSF2 at its relaxed geometry.

The space group is R-3m (No. 166, hexagonal axes) and the conventional cell measures 4.6091, 4.6091 and 19.2920 Å, with angles of 90.00, 90.00 and 120.00 degrees. The inequivalent atoms are Cs at (0.0000, 0.0000, 0.0000), S at (0.0000, 0.0000, 0.5000) and F at (0.0000, 0.0000, 0.4030).

Its raw formation energy is -1514 meV per atom.

---

Entry 7:
DFT (PBE-GGA) results for crystalline LiYOs2 at its relaxed geometry.

The space group is R3m (No. 160, hexagonal axes) and the conventional cell measures 2.8865, 2.8865 and 29.3708 Å, with angles of 90.00, 90.00 and 120.00 degrees. The inequivalent atoms are Li at (0.0000, 0.0000, 0.0000), Y at (0.0000, 0.0000, 0.7656), Os at (0.0000, 0.0000, 0.2566) and Os at (0.0000, 0.0000, 0.5219).

The formation energy from the elements comes out at 0.5354 eV per atom.

---

Entry 8:
DFT (PBE-GGA) results for crystalline CaCrSe2Br at its relaxed geometry.

The space group is P4/mmm (No. 123) and the conventional cell measures 4.985, 4.985 and 5.025 Å, with angles of 90.00, 90.00 and 90.00 degrees. The inequivalent atoms are Ca at (0.000, 0.000, 0.000), Cr at (0.500, 0.500, 0.500), Se at (0.000, 0.500, 0.500) and Br at (0.500, 0.500, 0.000).

Its raw formation energy is -794 meV per atom.

---

Entry 9:
DFT (PBE-GGA) results for crystalline RbFe3Pt at its relaxed geometry.

The space group is Pm-3m (No. 221) and the conventional cell measures 4.516, 4.516 and 4.516 Å, with angles of 90.00, 90.00 and 90.00 degrees. The inequivalent atoms are Rb at (0.000, 0.000, 0.000), Fe at (0.000, 0.000, 0.500) and Pt at (0.500, 0.500, 0.500).

The formation energy from the elements comes out at 2.5087 eV per atom.

---

Entry 10:
DFT (PBE-GGA) results for crystalline Sc2VMo at its relaxed geometry.

The space group is Fm-3m (No. 225) and the conventional cell measures 6.692, 6.692 and 6.692 Å, with angles of 90.00, 90.00 and 90.00 degrees. The inequivalent atoms are Sc at (0.250, 0.250, 0.250), V at (0.000, 0.000, 0.000) and Mo at (0.000, 0.000, 0.500).

The formation energy from the elements comes out at 0.3025 eV per atom.

---

Entry 11:
DFT (PBE-GGA) results for crystalline YNiIN2 at its relaxed geometry.

The space group is P4/mmm (No. 123) and the conventional cell measures 4.375, 4.375 and 6.349 Å, with angles of 90.00, 90.00 and 90.00 degrees. The inequivalent atoms are Y at (0.000, 0.000, 0.000), Ni at (0.500, 0.500, 0.500), I at (0.000, 0.000, 0.500) and N at (0.000, 0.500, 0.000).

Its raw formation energy is 1041 meV per atom.

---

Entry 12:
DFT (PBE-GGA) results for crystalline ZrV4Sn at its relaxed geometry.

The space group is F-43m (No. 216) and the conventional cell measures 7.315, 7.315 and 7.315 Å, with angles of 90.00, 90.00 and 90.00 degrees. The inequivalent atoms are Zr at (0.000, 0.000, 0.000), V at (0.128, 0.128, 0.628) and Sn at (0.250, 0.250, 0.250).

The formation energy from the elements comes out at -0.0188 eV per atom.